Record 1
Material: PuBePd
Method: DFT, PBE
State: relaxed

```
PuBePd
1.0
-1.513 1.513 5.429
1.513 -1.513 5.429
1.513 1.513 -5.429
Pu Be Pd
1 1 1
direct
0.000 0.000 0.000 Pu
0.697 0.697 0.000 Be
0.288 0.288 0.000 Pd
```

Summary:
**Magnetic moment**: 5.64 μB/f.u.
**Total energy**: -8.01 eV/atom

Record 2
Material: PuBePd
Method: DFT, PBE
State: relaxed

```
PuBePd
1.0
4.024 0.000 0.000
-2.012 3.485 0.000
0.000 0.000 4.027
Pu Be Pd
1 1 1
direct
0.000 0.000 0.000 Pu
0.667 0.333 0.500 Be
0.333 0.667 0.500 Pd
```

Summary:
**Magnetic moment**: 5.87 μB/f.u.
**Total energy**: -7.97 eV/atom

Record 3
Material: Pu2BeSnPd6
Method: DFT, PBE
State: relaxed

```
Pu2BeSnPd6
1.0
5.729 0.000 0.000
2.849 4.992 0.000
2.823 1.412 6.689
Pu Be Sn Pd
2 1 1 6
direct
0.222 0.336 0.223 Pu
0.778 0.664 0.777 Pu
0.500 0.500 0.500 Be
0.000 0.000 0.000 Sn
0.159 0.822 0.355 Pd
0.299 0.607 0.793 Pd
0.333 0.178 0.647 Pd
0.667 0.822 0.353 Pd
0.701 0.393 0.207 Pd
0.841 0.178 0.645 Pd
```

Summary:
**Magnetic moment**: 10.54 μB/f.u.
**Total energy**: -7.17 eV/atom

Record 4
Material: RbBePd
Method: DFT, PBE
State: relaxed

```
RbBePd
1.0
3.463 -2.791 0.000
3.463 2.791 0.000
-0.452 0.000 10.330
Rb Be Pd
2 2 2
direct
0.220 0.220 0.283 Rb
0.780 0.780 0.717 Rb
0.304 0.696 0.000 Be
0.696 0.304 0.000 Be
0.211 0.211 0.974 Pd
0.789 0.789 0.026 Pd
```

Summary:
**Magnetic moment**: 0.00 μB/f.u.
**Total energy**: -3.42 eV/atom

Record 5
Material: RbBePd
Method: DFT, PBE
State: relaxed

```
RbBePd
1.0
4.043 0.000 0.000
0.001 4.473 0.000
0.026 0.076 10.389
Rb Be Pd
2 2 2
direct
0.000 0.000 0.000 Rb
0.496 0.503 0.562 Rb
0.496 0.893 0.285 Be
0.995 0.609 0.277 Be
0.496 0.416 0.221 Pd
0.995 0.086 0.341 Pd
```

Summary:
**Magnetic moment**: 0.00 μB/f.u.
**Total energy**: -3.39 eV/atom

Record 6
Material: RbBePd
Method: DFT, PBE
State: relaxed

```
RbBePd
1.0
2.798 -3.437 0.000
2.798 3.437 0.000
-0.253 0.000 10.313
Rb Be Pd
2 2 2
direct
0.241 0.241 0.280 Rb
0.759 0.759 0.720 Rb
0.303 0.303 0.966 Be
0.697 0.697 0.034 Be
0.216 0.784 0.000 Pd
0.784 0.216 0.000 Pd
```

Summary:
**Magnetic moment**: 0.00 μB/f.u.
**Total energy**: -3.43 eV/atom

Record 7
Material: RbBePd2
Method: DFT, PBE
State: relaxed

```
RbBePd2
1.0
-2.701 2.701 7.028
2.701 -2.701 7.028
2.701 2.701 -7.028
Rb Be Pd
2 2 4
direct
0.000 0.000 0.000 Rb
0.750 0.250 0.500 Rb
0.250 0.750 0.500 Be
0.500 0.500 0.000 Be
0.344 0.625 0.219 Pd
0.375 0.594 0.719 Pd
0.406 0.125 0.781 Pd
0.875 0.656 0.281 Pd
```

Summary:
**Magnetic moment**: 0.00 μB/f.u.
**Total energy**: -3.62 eV/atom

Record 8
Material: Rb2Be2Pd
Method: DFT, PBE
State: relaxed

```
Rb2Be2Pd
1.0
6.590 0.000 0.000
0.000 6.590 0.000
0.000 0.000 6.020
Rb Be Pd
4 4 2
direct
0.176 0.324 0.000 Rb
0.324 0.824 0.000 Rb
0.676 0.176 0.000 Rb
0.824 0.676 0.000 Rb
0.229 0.729 0.500 Be
0.271 0.229 0.500 Be
0.729 0.771 0.500 Be
0.771 0.271 0.500 Be
0.000 0.000 0.500 Pd
0.500 0.500 0.500 Pd
```

Summary:
**Magnetic moment**: 0.00 μB/f.u.
**Total energy**: -2.35 eV/atom

Copy entry 7 word for word.
Material: RbBePd2
Method: DFT, PBE
State: relaxed

```
RbBePd2
1.0
-2.701 2.701 7.028
2.701 -2.701 7.028
2.701 2.701 -7.028
Rb Be Pd
2 2 4
direct
0.000 0.000 0.000 Rb
0.750 0.250 0.500 Rb
0.250 0.750 0.500 Be
0.500 0.500 0.000 Be
0.344 0.625 0.219 Pd
0.375 0.594 0.719 Pd
0.406 0.125 0.781 Pd
0.875 0.656 0.281 Pd
```

Summary:
**Magnetic moment**: 0.00 μB/f.u.
**Total energy**: -3.62 eV/atom

> Among the records above, which one has the highest total energy?

Rb2Be2Pd

Please write out number 4 again, unchanged.
Material: RbBePd
Method: DFT, PBE
State: relaxed

```
RbBePd
1.0
3.463 -2.791 0.000
3.463 2.791 0.000
-0.452 0.000 10.330
Rb Be Pd
2 2 2
direct
0.220 0.220 0.283 Rb
0.780 0.780 0.717 Rb
0.304 0.696 0.000 Be
0.696 0.304 0.000 Be
0.211 0.211 0.974 Pd
0.789 0.789 0.026 Pd
```

Summary:
**Magnetic moment**: 0.00 μB/f.u.
**Total energy**: -3.42 eV/atom